(1)
Below is crystalline RbZrMo at its relaxed geometry, with properties calculated at the PBE-GGA level.

Properties
energy above the lowest structure with this stoichiometry: 0 meV per atom
space-group type: No. 216

a b c (Å): 4.9200 4.9200 4.9200
angles (deg): 60.00 60.00 60.00
With the nearest neighbours (Å) after each atom.
Fractional coordinates of all 3 atoms:
Mo (0.0000, 0.0000, 0.0000)  4 Rb 3.01, 4 Zr 3.01
Rb (0.2500, 0.2500, 0.2500)  4 Mo 3.01
Zr (0.7500, 0.7500, 0.7500)  4 Mo 3.01

(2)
Below is crystalline RbZrMo at its relaxed geometry, with properties calculated at the PBE-GGA level.

Properties
energy above the lowest structure with this stoichiometry: 708 meV per atom
space-group type: No. 216

a b c (Å): 4.9077 4.9077 4.9077
angles (deg): 60.00 60.00 60.00
With the nearest neighbours (Å) after each atom.
Fractional coordinates of all 3 atoms:
Mo (0.2500, 0.2500, 0.2500)  4 Rb 3.01
Rb (0.0000, 0.0000, 0.0000)  4 Zr 3.01, 4 Mo 3.01
Zr (0.7500, 0.7500, 0.7500)  4 Rb 3.01

(3)
Below is crystalline Re24Mo5 at its relaxed geometry, with properties calculated at the PBE-GGA level.

Properties
energy of formation from the pure elements: -0.02 eV per atom
space-group type: No. 217

a b c (Å): 8.3209 8.3209 8.3209
angles (deg): 109.47 109.47 109.47
With the nearest neighbours (Å) after each atom.
Fractional coordinates of all 29 atoms:
Mo (0.0000, 0.0000, 0.0000)  4 Mo 3.00, 12 Re 3.00
Mo (0.6400, 0.0000, 0.0000)  9 Re 2.72-2.92, 1 Mo 3.00
Mo (0.0000, 0.6400, 0.0000)  9 Re 2.72-2.92, 1 Mo 3.00
Mo (0.3600, 0.3600, 0.3600)  9 Re 2.72-2.92, 1 Mo 3.00
Mo (0.0000, 0.0000, 0.6400)  9 Re 2.72-2.92, 1 Mo 3.00
Re (0.3750, 0.1935, 0.0000)  6 Re 2.47-2.71
Re (0.1935, 0.3750, 0.0000)  6 Re 2.47-2.71
Re (0.6840, 0.4006, 0.0000)  7 Re 2.57-2.84, 1 Mo 2.72
Re (0.4006, 0.6840, 0.0000)  7 Re 2.57-2.84, 1 Mo 2.72
Re (0.8065, 0.8065, 0.1815)  6 Re 2.47-2.71
Re (0.3750, 0.0000, 0.1935)  6 Re 2.47-2.71
Re (0.0000, 0.3750, 0.1935)  6 Re 2.47-2.71
Re (0.5994, 0.5994, 0.2834)  7 Re 2.57-2.84, 1 Mo 2.72
Re (0.7166, 0.3160, 0.3160)  7 Re 2.57-2.84, 1 Mo 2.72
Re (0.3160, 0.7166, 0.3160)  7 Re 2.57-2.84, 1 Mo 2.72
Re (0.1935, 0.0000, 0.3750)  6 Re 2.47-2.71
Re (0.0000, 0.1935, 0.3750)  6 Re 2.47-2.71
Re (0.6840, 0.0000, 0.4006)  7 Re 2.57-2.84, 1 Mo 2.72
Re (0.0000, 0.6840, 0.4006)  7 Re 2.57-2.84, 1 Mo 2.72
Re (0.5994, 0.2834, 0.5994)  7 Re 2.57-2.84, 1 Mo 2.72
Re (0.2834, 0.5994, 0.5994)  7 Re 2.57-2.84, 1 Mo 2.72
Re (0.8185, 0.6250, 0.6250)  6 Re 2.47-2.71
Re (0.6250, 0.8185, 0.6250)  6 Re 2.47-2.71
Re (0.4006, 0.0000, 0.6840)  7 Re 2.57-2.84, 1 Mo 2.72
Re (0.0000, 0.4006, 0.6840)  7 Re 2.57-2.84, 1 Mo 2.72
Re (0.3160, 0.3160, 0.7166)  7 Re 2.57-2.84, 1 Mo 2.72
Re (0.8065, 0.1815, 0.8065)  6 Re 2.47-2.71
Re (0.1815, 0.8065, 0.8065)  6 Re 2.47-2.71
Re (0.6250, 0.6250, 0.8185)  6 Re 2.47-2.71

(4)
Below is crystalline ReSb2Mo at its relaxed geometry, with properties calculated at the PBE-GGA level.

Properties
space-group type: No. 216

a b c (Å): 4.7524 4.7524 4.7524
angles (deg): 60.00 60.00 60.00
With the nearest neighbours (Å) after each atom.
Fractional coordinates of all 4 atoms:
Mo (0.5000, 0.5000, 0.5000)  4 Sb 2.91, 4 Re 2.91
Re (0.7500, 0.7500, 0.7500)  4 Sb 2.91, 4 Mo 2.91
Sb (0.0000, 0.0000, 0.0000)  4 Re 2.91, 4 Sb 2.91
Sb (0.2500, 0.2500, 0.2500)  4 Mo 2.91, 4 Sb 2.91

(5)
Below is crystalline Re2Sb2Mo3 at its relaxed geometry, with properties calculated at the PBE-GGA level.

Properties
space-group type: No. 160

a b c (Å): 7.6876 7.6876 7.6876
angles (deg): 33.78 33.78 33.78
With the nearest neighbours (Å) after each atom.
Fractional coordinates of all 7 atoms:
Mo (0.3709, 0.3709, 0.3709)  4 Sb 2.63-2.64, 4 Re 2.80-2.82
Mo (0.6227, 0.6227, 0.6227)  4 Re 2.78-2.91, 4 Sb 2.83-2.86, 3 Mo 3.09
Mo (0.8773, 0.8773, 0.8773)  4 Re 2.63-2.67, 3 Sb 2.81
Re (0.2421, 0.2421, 0.2421)  7 Mo 2.67-2.80
Re (0.7565, 0.7565, 0.7565)  5 Mo 2.63-2.91
Sb (0.0130, 0.0130, 0.0130)  7 Mo 2.63-2.95
Sb (0.4925, 0.4925, 0.4925)  5 Mo 2.64-2.83

(6)
Below is crystalline Re2Si2Mo at its relaxed geometry, with properties calculated at the PBE-GGA level.

Properties
space-group type: No. 139

a b c (Å): 5.7505 5.7505 5.7505
angles (deg): 140.13 140.13 57.65
With the nearest neighbours (Å) after each atom.
Fractional coordinates of all 5 atoms:
Mo (0.0000, 0.0000, 0.0000)  8 Si 2.99, 8 Re 3.19
Re (0.7500, 0.2500, 0.5000)  4 Si 2.41
Re (0.2500, 0.7500, 0.5000)  4 Si 2.41
Si (0.3889, 0.3889, 0.0000)  1 Si 2.24, 4 Re 2.41
Si (0.6111, 0.6111, 0.0000)  1 Si 2.24, 4 Re 2.41

(7)
Below is crystalline ReSnMo2 at its relaxed geometry, with properties calculated at the PBE-GGA level.

Properties
space-group type: No. 216

a b c (Å): 4.5453 4.5453 4.5453
angles (deg): 60.00 60.00 60.00
With the nearest neighbours (Å) after each atom.
Fractional coordinates of all 4 atoms:
Mo (0.0000, 0.0000, 0.0000)  4 Mo 2.78, 4 Re 2.78
Mo (0.7500, 0.7500, 0.7500)  4 Sn 2.78, 4 Mo 2.78
Re (0.2500, 0.2500, 0.2500)  4 Sn 2.78, 4 Mo 2.78
Sn (0.5000, 0.5000, 0.5000)  4 Mo 2.78, 4 Re 2.78

(8)
Below is crystalline Re2SnMo at its relaxed geometry, with properties calculated at the PBE-GGA level.

Properties
space-group type: No. 216

a b c (Å): 4.5189 4.5189 4.5189
angles (deg): 60.00 60.00 60.00
With the nearest neighbours (Å) after each atom.
Fractional coordinates of all 4 atoms:
Mo (0.2500, 0.2500, 0.2500)  4 Sn 2.77, 4 Re 2.77
Re (0.0000, 0.0000, 0.0000)  4 Re 2.77, 4 Mo 2.77
Re (0.7500, 0.7500, 0.7500)  4 Re 2.77, 4 Sn 2.77
Sn (0.5000, 0.5000, 0.5000)  4 Mo 2.77, 4 Re 2.77

(9)
Below is crystalline TaRe6Mo at its relaxed geometry, with properties calculated at the PBE-GGA level.

Properties
energy of formation from the pure elements: 0.11 eV per atom
space-group type: No. 123

a b c (Å): 4.4297 4.4297 6.2838
angles (deg): 90.00 90.00 90.00
With the nearest neighbours (Å) after each atom.
Fractional coordinates of all 8 atoms:
Mo (0.0000, 0.0000, 0.0000)  8 Re 2.72
Re (0.5000, 0.5000, 0.0000)  8 Re 2.72
Re (0.5000, 0.0000, 0.2504)  2 Ta 2.71, 4 Re 2.71-2.72, 2 Mo 2.72
Re (0.0000, 0.5000, 0.2504)  2 Ta 2.71, 4 Re 2.71-2.72, 2 Mo 2.72
Re (0.0000, 0.0000, 0.5000)  8 Re 2.71
Re (0.5000, 0.0000, 0.7496)  2 Ta 2.71, 4 Re 2.71-2.72, 2 Mo 2.72
Re (0.0000, 0.5000, 0.7496)  2 Ta 2.71, 4 Re 2.71-2.72, 2 Mo 2.72
Ta (0.5000, 0.5000, 0.5000)  8 Re 2.71

(10)
Below is crystalline Re2Tc2Mo at its relaxed geometry, with properties calculated at the PBE-GGA level.

Properties
energy of formation from the pure elements: 0.72 eV per atom
space-group type: No. 139

a b c (Å): 6.1138 6.1138 6.1138
angles (deg): 142.24 142.24 54.47
With the nearest neighbours (Å) after each atom.
Fractional coordinates of all 5 atoms:
Mo (0.0000, 0.0000, 0.0000)  8 Re 3.04, 8 Tc 3.36
Re (0.3916, 0.3916, 0.0000)  1 Re 2.36, 4 Tc 2.51
Re (0.6084, 0.6084, 0.0000)  1 Re 2.36, 4 Tc 2.51
Tc (0.7500, 0.2500, 0.5000)  4 Re 2.51, 4 Tc 2.80
Tc (0.2500, 0.7500, 0.5000)  4 Re 2.51, 4 Tc 2.80

(11)
Below is crystalline Re2TcMo2 at its relaxed geometry, with properties calculated at the PBE-GGA level.

Properties
energy of formation from the pure elements: 1.03 eV per atom
space-group type: No. 139

a b c (Å): 6.2927 6.2927 6.2927
angles (deg): 143.48 143.48 52.61
With the nearest neighbours (Å) after each atom.
Fractional coordinates of all 5 atoms:
Mo (0.3912, 0.3912, 0.0000)  1 Mo 2.45, 4 Re 2.54
Mo (0.6088, 0.6088, 0.0000)  1 Mo 2.45, 4 Re 2.53
Re (0.7500, 0.2500, 0.5000)  4 Mo 2.53-2.54, 4 Re 2.79
Re (0.2500, 0.7500, 0.5000)  4 Mo 2.53-2.54, 4 Re 2.79
Tc (0.0000, 0.0000, 0.0000)  8 Mo 3.05

(12)
Below is crystalline ReTcMo at its relaxed geometry, with properties calculated at the PBE-GGA level.

Properties
energy of formation from the pure elements: 0.65 eV per atom
energy above the lowest structure with this stoichiometry: 0 meV per atom
space-group type: No. 216

a b c (Å): 4.2246 4.2246 4.2246
angles (deg): 60.00 60.00 60.00
With the nearest neighbours (Å) after each atom.
Fractional coordinates of all 3 atoms:
Mo (0.2500, 0.2500, 0.2500)  4 Re 2.59
Re (0.0000, 0.0000, 0.0000)  4 Tc 2.59, 4 Mo 2.59
Tc (0.7500, 0.7500, 0.7500)  4 Re 2.59

Number 1: DFT total energy -4.8006 eV per atom. Number 2: DFT total energy -4.0929 eV per atom. Number 3: DFT total energy -12.1687 eV per atom. Number 4: DFT total energy -7.0125 eV per atom. Number 5: DFT total energy -8.9092 eV per atom. Number 6: DFT total energy -8.9675 eV per atom. Number 7: DFT total energy -9.1979 eV per atom. Number 8: DFT total energy -9.4615 eV per atom. Number 9: DFT total energy -12.0464 eV per atom. Number 10: DFT total energy -10.5679 eV per atom. Number 11: DFT total energy -10.3508 eV per atom. Number 12: DFT total energy -10.5648 eV per atom.